This record from Alexandria describes LaNdAgIr after structural relaxation. The functional is PBE.

Cell and atoms, written as POSCAR:
```
LaNdAgIr
1.0
7.326 0.000 0.000
0.000 7.326 0.000
0.000 0.000 7.326
La Nd Ag Ir
4 4 4 4
Direct
0.000 0.000 0.000 La
0.000 0.500 0.500 La
0.500 0.000 0.500 La
0.500 0.500 0.000 La
0.000 0.000 0.500 Nd
0.000 0.500 0.000 Nd
0.500 0.000 0.000 Nd
0.500 0.500 0.500 Nd
0.250 0.250 0.750 Ag
0.250 0.750 0.250 Ag
0.750 0.250 0.250 Ag
0.750 0.750 0.750 Ag
0.250 0.250 0.250 Ir
0.250 0.750 0.750 Ir
0.750 0.250 0.750 Ir
0.750 0.750 0.250 Ir
```

Values from the calculation:
Its space group is F-43m, No. 216. For the density of states at the Fermi level, the calculation gives 3.9 states/eV/f.u. As for the energy of formation from the pure elements: -440 meV/atom.

---

This record from Alexandria describes Re2HgOs after structural relaxation. The functional is PBE.

Cell and atoms, written as POSCAR:
```
Re2HgOs
1.0
7.484 0.000 0.000
0.000 7.484 0.000
0.000 0.000 5.295
Re Hg Os
8 4 4
Direct
0.193 0.250 0.125 Re
0.250 0.693 0.375 Re
0.250 0.807 0.875 Re
0.307 0.250 0.625 Re
0.693 0.750 0.625 Re
0.750 0.193 0.875 Re
0.750 0.307 0.375 Re
0.807 0.750 0.125 Re
0.000 0.000 0.500 Hg
0.000 0.500 0.750 Hg
0.500 0.000 0.250 Hg
0.500 0.500 0.000 Hg
0.000 0.000 0.000 Os
0.000 0.500 0.250 Os
0.500 0.000 0.750 Os
0.500 0.500 0.500 Os
```

Values from the calculation:
Its space group is I-42d, No. 122. For the density of states at the Fermi level, the calculation gives 3.7 states/eV/f.u. As for the energy of formation from the pure elements: 1154 meV/atom.